1.
! PrAlGaAg | Alexandria via LeMat-Bulk | PBE-GGA | relaxed; values from VASP
&SYSTEM
  ibrav = 0, nat = 4, ntyp = 4
/
ATOMIC_SPECIES
Pr 140.91 Pr.upf
Al 26.98 Al.upf
Ga 69.72 Ga.upf
Ag 107.87 Ag.upf
ATOMIC_POSITIONS crystal
Pr 0.000 0.000 0.000
Al 0.500 0.500 0.500
Ga 0.750 0.750 0.750
Ag 0.250 0.250 0.250
CELL_PARAMETERS angstrom
0.000 3.503 3.503
3.503 0.000 3.503
3.503 3.503 0.000
! * magnetization: 0.00 μB per cell
! * crystal system: cubic
! * ΔE_f: -0.303 eV per atom

2.
! TlCuO | Alexandria via LeMat-Bulk | PBE-GGA | relaxed; values from VASP
&SYSTEM
  ibrav = 0, nat = 6, ntyp = 3
/
ATOMIC_SPECIES
Tl 204.38 Tl.upf
Cu 63.55 Cu.upf
O 16.00 O.upf
ATOMIC_POSITIONS crystal
Tl 0.249 0.314 0.214
Tl 0.751 0.686 0.786
Cu 0.237 0.103 0.619
Cu 0.763 0.897 0.381
O 0.261 0.363 0.845
O 0.739 0.637 0.155
CELL_PARAMETERS angstrom
3.562 0.000 0.000
0.098 4.662 0.000
0.106 0.382 6.233
! * energy relative to the lowest polymorph listed for this composition: 0.119 eV/atom
! * magnetization: 0.00 μB per cell
! * raw formation energy: -373 meV/atom
! * crystal system: triclinic

3.
! ScSiP | Alexandria via LeMat-Bulk | PBE-GGA | relaxed; values from VASP
&SYSTEM
  ibrav = 0, nat = 3, ntyp = 3
/
ATOMIC_SPECIES
Sc 44.96 Sc.upf
Si 28.09 Si.upf
P 30.97 P.upf
ATOMIC_POSITIONS crystal
Sc 0.000 0.000 0.000
Si 0.500 0.626 0.626
P 0.000 0.401 0.401
CELL_PARAMETERS angstrom
3.480 0.000 0.000
0.000 2.483 3.272
0.000 -2.483 3.272
! * energy relative to the lowest polymorph listed for this composition: 0.000 eV/atom
! * magnetization: 0.00 μB per cell
! * raw formation energy: -511 meV/atom
! * crystal system: orthorhombic

4.
! RePdRuPt2 | Alexandria via LeMat-Bulk | PBE-GGA | relaxed; values from VASP
&SYSTEM
  ibrav = 0, nat = 5, ntyp = 4
/
ATOMIC_SPECIES
Re 186.21 Re.upf
Pd 106.42 Pd.upf
Ru 101.07 Ru.upf
Pt 195.08 Pt.upf
ATOMIC_POSITIONS crystal
Re 0.000 0.000 0.000
Pd 0.500 0.500 0.000
Ru 0.000 0.000 0.500
Pt 0.000 0.500 0.500
Pt 0.500 0.000 0.500
CELL_PARAMETERS angstrom
4.803 0.000 0.000
0.000 4.803 0.000
0.000 0.000 4.570
! * magnetization: 1.33 μB per cell
! * crystal system: tetragonal
! * ΔE_f: 1.669 eV per atom

5.
! RbCl | Alexandria via LeMat-Bulk | PBE-GGA | relaxed; values from VASP
&SYSTEM
  ibrav = 0, nat = 4, ntyp = 2
/
ATOMIC_SPECIES
Rb 85.47 Rb.upf
Cl 35.45 Cl.upf
ATOMIC_POSITIONS crystal
Rb 0.000 0.000 0.000
Rb 0.170 0.170 0.170
Cl 0.584 0.584 0.584
Cl 0.752 0.752 0.752
CELL_PARAMETERS angstrom
2.321 1.340 8.053
-2.321 1.340 8.053
0.000 -2.680 8.053
! * magnetization: 0.10 μB per cell
! * raw formation energy: -1917 meV/atom
! * crystal system: trigonal

6.
! KScHg2F8 | Alexandria via LeMat-Bulk | PBE-GGA | relaxed; values from VASP
&SYSTEM
  ibrav = 0, nat = 12, ntyp = 4
/
ATOMIC_SPECIES
K 39.10 K.upf
Sc 44.96 Sc.upf
Hg 200.59 Hg.upf
F 19.00 F.upf
ATOMIC_POSITIONS crystal
K 0.000 0.000 0.000
Sc 0.000 0.500 0.000
Hg 0.500 0.250 0.500
Hg 0.500 0.750 0.500
F 0.161 0.304 0.788
F 0.161 0.696 0.788
F 0.318 0.500 0.258
F 0.420 0.000 0.264
F 0.580 0.000 0.736
F 0.682 0.500 0.742
F 0.839 0.304 0.212
F 0.839 0.696 0.212
CELL_PARAMETERS angstrom
4.958 0.000 0.000
0.000 7.501 0.000
-0.019 0.000 5.385
! * magnetization: 0.00 μB per cell
! * raw formation energy: -2490 meV/atom
! * crystal system: monoclinic

7.
! Pu4SiGeC | Alexandria via LeMat-Bulk | PBE-GGA | relaxed; values from VASP
&SYSTEM
  ibrav = 0, nat = 14, ntyp = 4
/
ATOMIC_SPECIES
Pu 244.00 Pu.upf
Si 28.09 Si.upf
Ge 72.64 Ge.upf
C 12.01 C.upf
ATOMIC_POSITIONS crystal
Pu 0.000 0.500 0.000
Pu 0.000 0.500 0.500
Pu 0.076 0.924 0.750
Pu 0.420 0.580 0.750
Pu 0.500 0.000 0.000
Pu 0.500 0.000 0.500
Pu 0.580 0.420 0.250
Pu 0.924 0.076 0.250
Si 0.118 0.882 0.250
Si 0.882 0.118 0.750
Ge 0.385 0.615 0.250
Ge 0.615 0.385 0.750
C 0.246 0.754 0.750
C 0.754 0.246 0.250
CELL_PARAMETERS angstrom
3.248 -7.605 0.000
3.248 7.605 0.000
0.000 0.000 6.497
! * magnetization: 40.00 μB per cell
! * raw formation energy: -167 meV/atom
! * crystal system: orthorhombic

8.
! In3AgBi2 | Alexandria via LeMat-Bulk | PBE-GGA | relaxed; values from VASP
&SYSTEM
  ibrav = 0, nat = 12, ntyp = 3
/
ATOMIC_SPECIES
In 114.82 In.upf
Ag 107.87 Ag.upf
Bi 208.98 Bi.upf
ATOMIC_POSITIONS crystal
In 0.174 0.189 0.750
In 0.189 0.174 0.250
In 0.201 0.799 0.750
In 0.799 0.201 0.250
In 0.811 0.826 0.750
In 0.826 0.811 0.250
Ag 0.275 0.725 0.250
Ag 0.725 0.275 0.750
Bi 0.364 0.364 0.000
Bi 0.364 0.364 0.500
Bi 0.636 0.636 0.000
Bi 0.636 0.636 0.500
CELL_PARAMETERS angstrom
8.410 -2.975 0.000
8.410 2.975 0.000
0.000 0.000 6.769
! * magnetization: 0.00 μB per cell
! * crystal system: orthorhombic
! * ΔE_f: 0.062 eV per atom

9.
! AsRh2W | Alexandria via LeMat-Bulk | PBE-GGA | relaxed; values from VASP
&SYSTEM
  ibrav = 0, nat = 4, ntyp = 3
/
ATOMIC_SPECIES
As 74.92 As.upf
Rh 102.91 Rh.upf
W 183.84 W.upf
ATOMIC_POSITIONS crystal
As 0.000 0.000 0.000
Rh 0.000 0.500 0.500
Rh 0.500 0.000 0.500
W 0.500 0.500 0.000
CELL_PARAMETERS angstrom
2.699 -3.913 0.000
2.699 3.913 0.000
0.000 0.000 2.849
! * magnetization: 0.00 μB per cell
! * crystal system: orthorhombic
! * ΔE_f: 0.030 eV per atom

10.
! Be2HgBr | Alexandria via LeMat-Bulk | PBE-GGA | relaxed; values from VASP
&SYSTEM
  ibrav = 0, nat = 4, ntyp = 3
/
ATOMIC_SPECIES
Be 9.01 Be.upf
Hg 200.59 Hg.upf
Br 79.90 Br.upf
ATOMIC_POSITIONS crystal
Be 0.000 0.000 0.247
Be 0.000 0.000 0.753
Hg 0.500 0.500 0.000
Br 0.500 0.500 0.500
CELL_PARAMETERS angstrom
1.594 -3.173 0.000
1.594 3.173 0.000
0.000 0.000 7.605
! * energy relative to the lowest polymorph listed for this composition: 0.354 eV/atom
! * magnetization: 0.00 μB per cell
! * raw formation energy: 543 meV/atom
! * crystal system: orthorhombic

> Which value of magnetization does entry 4 give?

1.33 μB per cell

> Number 6 is which compound?

KScHg2F8